Record 1
This record from Alexandria describes an optimized crystal structure of AsP2N. The functional is PBE.

size of the total moment: 0.000 μB/f.u.
final energy: -4.5171 eV per atom
SG: No. 225
D(E_F): 2.7 states/eV/f.u.

Lattice parameters (Å, degrees): 4.228 4.228 4.228 60.00 60.00 60.00
Fractional positions:
1 P 0.250 0.250 0.250
2 P 0.750 0.750 0.750
3 As 0.500 0.500 0.500
4 N 0.000 0.000 0.000

=====

Record 2
This record from Alexandria describes an optimized crystal structure of AsP2N. The functional is PBE.

size of the total moment: 0.000 μB/f.u.
final energy: -5.2203 eV per atom
SG: No. 122
D(E_F): 1.9 states/eV/f.u.

Lattice parameters (Å, degrees): 4.606 4.606 6.775 70.13 70.13 90.00
Fractional positions:
1 P 0.510 0.125 0.250
2 P 0.240 0.625 0.250
3 P 0.375 0.490 0.750
4 P 0.875 0.760 0.750
5 As 0.000 0.000 0.000
6 As 0.750 0.250 0.500
7 N 0.500 0.500 0.000
8 N 0.250 0.750 0.500

=====

Record 3
This record from Alexandria describes an optimized crystal structure of AsPN2. The functional is PBE.

size of the total moment: 0.000 μB/f.u.
final energy: -6.5019 eV per atom
SG: No. 166
D(E_F): 0.4 states/eV/f.u.

Lattice parameters (Å, degrees): 6.580 6.580 6.580 24.30 24.30 24.30
Fractional positions:
1 P 0.500 0.500 0.500
2 As 0.000 0.000 0.000
3 N 0.882 0.882 0.882
4 N 0.118 0.118 0.118

=====

Record 4
This record from Alexandria describes an optimized crystal structure of PaAsPN. The functional is PBE.

size of the total moment: 0.000 μB/f.u.
final energy: -7.7904 eV per atom
SG: No. 129
D(E_F): 1.6 states/eV/f.u.

Lattice parameters (Å, degrees): 3.841 3.841 9.511 90.00 90.00 90.00
Fractional positions:
1 Pa 0.000 0.500 0.870
2 Pa 0.500 0.000 0.130
3 As 0.000 0.000 0.500
4 As 0.500 0.500 0.500
5 P 0.500 0.000 0.734
6 P 0.000 0.500 0.266
7 N 0.500 0.500 0.000
8 N 0.000 0.000 0.000

=====

Record 5
This record from Alexandria describes an optimized crystal structure of Pm4AsP2N. The functional is PBE.

size of the total moment: 0.000 μB/f.u.
final energy: -6.7077 eV per atom
SG: No. 63
D(E_F): 0.8 states/eV/f.u.

Lattice parameters (Å, degrees): 4.089 7.161 14.281 90.00 90.00 106.59
Fractional positions:
1 Pm 0.261 0.522 0.128
2 Pm 0.739 0.478 0.628
3 Pm 0.739 0.478 0.872
4 Pm 0.261 0.522 0.372
5 Pm 0.000 0.000 0.500
6 Pm 0.000 0.000 0.000
7 Pm 0.434 0.869 0.750
8 Pm 0.566 0.131 0.250
9 As 0.111 0.222 0.750
10 As 0.889 0.778 0.250
11 P 0.368 0.735 0.553
12 P 0.632 0.265 0.053
13 P 0.632 0.265 0.447
14 P 0.368 0.735 0.947
15 N 0.844 0.688 0.750
16 N 0.156 0.312 0.250

=====

Record 6
This record from Alexandria describes an optimized crystal structure of PmAsP2N6. The functional is PBE.

size of the total moment: 0.000 μB/f.u.
final energy: -7.3189 eV per atom
SG: No. 15
D(E_F): 0.0 states/eV/f.u.

Lattice parameters (Å, degrees): 5.745 7.116 7.116 89.85 72.23 72.23
Fractional positions:
1 Pm 0.250 0.879 0.121
2 Pm 0.750 0.121 0.879
3 As 0.250 0.226 0.774
4 As 0.750 0.774 0.226
5 P 0.350 0.769 0.628
6 P 0.150 0.372 0.231
7 P 0.650 0.231 0.372
8 P 0.850 0.628 0.769
9 N 0.205 0.984 0.775
10 N 0.295 0.225 0.016
11 N 0.795 0.016 0.225
12 N 0.705 0.775 0.984
13 N 0.434 0.798 0.387
14 N 0.066 0.613 0.202
15 N 0.566 0.202 0.613
16 N 0.934 0.387 0.798
17 N 0.107 0.686 0.662
18 N 0.393 0.338 0.314
19 N 0.893 0.314 0.338
20 N 0.607 0.662 0.686

=====

Record 7
This record from Alexandria describes an optimized crystal structure of Pr8As3P3N. The functional is PBE.

size of the total moment: 1.409 μB/f.u.
final energy: -6.4426 eV per atom
SG: No. 166
D(E_F): 6.2 states/eV/f.u.

Lattice parameters (Å, degrees): 8.353 8.353 8.415 119.75 90.00 120.00
Fractional positions:
1 Pr 0.252 0.505 0.257
2 Pr 0.748 0.495 0.743
3 Pr 0.772 0.545 0.277
4 Pr 0.228 0.455 0.723
5 Pr 0.772 0.005 0.277
6 Pr 0.228 0.995 0.723
7 Pr 0.233 0.005 0.277
8 Pr 0.767 0.995 0.723
9 As 0.000 0.000 0.000
10 As 0.000 0.500 0.000
11 As 0.500 0.500 0.000
12 P 0.500 0.000 0.500
13 P 0.500 0.500 0.500
14 P 0.000 0.500 0.500
15 N 0.000 0.000 0.500

=====

Record 8
This record from Alexandria describes an optimized crystal structure of Pu3AsPN. The functional is PBE.

size of the total moment: 14.928 μB/f.u.
final energy: -11.2755 eV per atom
SG: No. 11
D(E_F): 22.8 states/eV/f.u.

Lattice parameters (Å, degrees): 3.815 11.762 6.609 124.20 90.00 90.00
Fractional positions:
1 Pu 0.250 0.870 0.783
2 Pu 0.750 0.867 0.288
3 Pu 0.750 0.504 0.239
4 Pu 0.750 0.130 0.217
5 Pu 0.250 0.496 0.761
6 Pu 0.250 0.133 0.712
7 As 0.750 0.679 0.762
8 As 0.250 0.321 0.238
9 P 0.250 0.688 0.272
10 P 0.750 0.312 0.728
11 N 0.250 0.002 0.254
12 N 0.750 0.998 0.746

=====

Question: The lowest final energy belongs to which entry?
Answer: Pu3AsPN

=====

Question: What is the final energy in the first record?
Answer: -4.5171 eV per atom

=====

Question: Number 8 is which compound?
Answer: Pu3AsPN

=====

Question: The lowest final energy belongs to which entry?
Answer: Pu3AsPN